The following is a DFT calculation (GGA-PBE) of Ba4ScRe after structural relaxation.

The structure in POSCAR format:
```
Ba4ScRe
1.0
0.000 4.939 4.939
4.939 0.000 4.939
4.939 4.939 0.000
Ba Re Sc
4 1 1
Cartesian
3.711 3.711 3.711
6.166 6.166 3.711
3.711 6.166 6.166
6.166 3.711 6.166
7.408 7.408 7.408
0.000 0.000 0.000
```

The calculation puts the magnetization at 0.488 Bohr magnetons per cell. The calculation puts the total energy at -18.091 eV/cell. The space-group type is F-43m, No. 216. Its crystal system is cubic. As for the formation energy: 1397 meV per atom.

The following is a DFT calculation (GGA-PBE) of Ba2ScRe after structural relaxation.

The structure in POSCAR format:
```
Ba2ScRe
1.0
11.200 -0.001 0.000
10.622 3.551 0.000
10.622 1.728 3.102
Ba Sc Re
2 1 1
Cartesian
0.430 0.070 0.041
15.792 2.569 1.510
8.111 1.320 0.775
24.334 3.959 2.326
```

The calculation puts the magnetization at 0.242 Bohr magnetons per cell. The calculation puts the total energy at -17.845 eV/cell. The space-group type is R-3m, No. 166. Its crystal system is trigonal. As for the formation energy: 1195 meV per atom.

The following is a DFT calculation (GGA-PBE) of BaSc2Re after structural relaxation.

The structure in POSCAR format:
```
BaSc2Re
1.0
5.938 -0.082 -0.269
-2.861 5.429 0.081
0.216 0.888 2.911
Sc Re Ba
2 1 1
Cartesian
0.000 0.000 0.000
3.077 0.403 1.321
1.538 2.673 -0.094
-1.323 3.159 1.496
```

The calculation puts the magnetization at 0.000 Bohr magnetons per cell. The calculation puts the total energy at -23.796 eV/cell. The space-group type is C2/m, No. 12. Its crystal system is monoclinic. As for the formation energy: 809 meV per atom.

The following is a DFT calculation (GGA-PBE) of BaSc2Re after structural relaxation.

The structure in POSCAR format:
```
BaSc2Re
1.0
-0.275 -5.059 0.631
2.913 -2.297 3.507
-2.129 -1.934 4.218
Sc Re Ba
2 1 1
Cartesian
0.127 -2.322 2.089
0.000 0.000 0.000
0.381 -6.967 6.268
0.254 -4.645 4.178
```

The calculation puts the magnetization at 0.001 Bohr magnetons per cell. The calculation puts the total energy at -24.000 eV/cell. The space-group type is F-43m, No. 216. Its crystal system is cubic. As for the formation energy: 758 meV per atom.

The following is a DFT calculation (GGA-PBE) of BaSc2Re after structural relaxation.

The structure in POSCAR format:
```
BaSc2Re
1.0
-0.087 2.003 -3.820
-2.336 -0.434 -3.600
-5.919 5.668 2.257
Ba Sc Re
1 2 1
Cartesian
-2.086 1.809 -1.291
-5.428 5.179 1.869
-4.663 4.107 -2.194
-6.257 5.427 -3.873
```

The calculation puts the magnetization at 0.000 Bohr magnetons per cell. The calculation puts the total energy at -25.608 eV/cell. The space-group type is C2/m, No. 12. Its crystal system is monoclinic. As for the formation energy: 357 meV per atom.

The following is a DFT calculation (GGA-PBE) of BaSc2Re after structural relaxation.

The structure in POSCAR format:
```
BaSc2Re
1.0
0.000 3.584 3.584
3.584 0.000 3.584
3.584 3.584 0.000
Sc Re Ba
2 1 1
Cartesian
5.376 5.376 5.376
1.792 1.792 1.792
3.584 3.584 3.584
0.000 0.000 0.000
```

The calculation puts the magnetization at 0.000 Bohr magnetons per cell. The calculation puts the total energy at -24.730 eV/cell. The space-group type is Fm-3m, No. 225. Its crystal system is cubic. As for the formation energy: 576 meV per atom.

- Which formula does entry 4 have?
  BaSc2Re